DFT (PBE-GGA) results for a geometry-optimized Na5Ce3H12 structure.

POSCAR file:
```
Na5Ce3H12
1.0
11.434 0.000 0.000
-3.811 10.780 0.000
-3.811 -5.390 9.336
Ce Na H
12 20 48
Cartesian
6.670 3.369 1.167
6.670 7.411 1.167
-0.953 4.716 5.835
0.953 -0.674 3.501
8.575 0.000 2.334
0.953 5.390 2.334
2.858 0.000 7.002
-4.764 5.390 7.002
2.858 6.064 5.835
4.764 0.674 3.501
-2.858 -2.021 8.169
-2.858 2.021 8.169
-0.953 2.695 2.334
-1.906 5.390 0.000
0.000 0.000 0.000
2.858 2.021 1.167
3.811 -2.695 4.668
3.811 5.390 0.000
-2.858 6.064 3.501
4.764 -3.369 8.169
4.764 4.716 3.501
0.953 -2.695 7.002
2.858 8.085 2.334
1.906 2.695 4.668
5.717 0.000 0.000
-1.906 -2.695 4.668
-0.953 0.674 5.835
-0.953 8.759 1.167
-3.811 2.695 4.668
6.670 -0.674 5.835
0.953 3.369 8.169
4.764 2.695 7.002
7.582 1.239 0.560
0.041 3.799 3.875
8.371 2.380 2.507
4.968 1.714 1.353
1.359 4.266 6.268
7.865 5.382 1.601
-0.749 6.057 3.860
-3.063 9.067 1.353
0.546 6.514 6.268
5.474 5.398 1.601
5.758 2.830 3.315
5.758 9.541 0.560
-3.265 4.866 5.228
2.148 4.008 0.807
-3.852 7.950 3.315
1.946 -1.591 5.461
-0.546 0.601 2.160
2.148 6.780 0.793
4.968 8.400 2.507
-0.243 4.000 0.793
-2.452 5.991 7.175
2.654 4.723 3.860
5.171 5.914 5.228
4.054 -1.382 8.528
1.157 0.667 5.475
-1.359 -0.524 4.108
-0.243 6.772 0.807
-1.157 -3.010 6.828
6.263 -0.601 2.160
4.054 1.390 8.543
1.663 -1.390 8.543
1.865 6.981 3.875
4.358 4.789 7.175
7.663 -2.560 6.021
7.076 0.524 4.108
-1.946 -4.151 8.776
1.663 1.382 8.528
3.265 -1.124 3.067
-1.663 -0.008 7.735
-1.946 2.560 6.021
6.874 -3.676 7.983
4.560 -0.667 5.475
-1.157 3.676 7.983
-4.054 0.008 7.735
2.452 1.124 3.067
-4.560 3.010 6.828
3.771 1.591 5.461
-3.771 4.151 8.776
```

Computed properties:
symmetry	Ia-3d
E_tot	-3.470	eV/atom
Fermi-level density of states	21.7	states/eV/f.u.